[1]
Density functional theory data (PBE) for a relaxed structure of La4Sm2TmMg.

Cell lengths 5.155, 5.155, 10.123 Å; angles 90.00, 90.00, 90.00 degrees
Space group P4/mmm (No. 123)
Symmetry-distinct sites (fractional):
La  0.000  0.500  0.247 (multiplicity 4)
Sm  0.000  0.000  0.000 (multiplicity 1)
Sm  0.500  0.500  0.500 (multiplicity 1)
Tm  0.000  0.000  0.500 (multiplicity 1)
Mg  0.500  0.500  0.000 (multiplicity 1)

Summary:
Raw total energy = -4.3997 eV/atom
N(E_F) = 1.323 states/eV per atom
V = 33.63 A^3/atom
Total moment = 0.00 μB/cell

[2]
Density functional theory data (PBE) for a relaxed structure of CeTm4Sc6.

Cell lengths 8.398, 8.398, 8.484 Å; angles 90.00, 90.00, 90.00 degrees
Space group P4/mnc (No. 128)
Symmetry-distinct sites (fractional):
Ce  0.000  0.000  0.000 (multiplicity 2)
Tm  0.151  0.349  0.250 (multiplicity 8)
Sc  0.000  0.000  0.339 (multiplicity 4)
Sc  0.136  0.655  0.500 (multiplicity 8)

Summary:
Raw total energy = -5.4593 eV/atom
N(E_F) = 1.794 states/eV per atom
V = 27.20 A^3/atom
Total moment = 4.56 μB/cell

[3]
Density functional theory data (PBE) for a relaxed structure of RbMgTc2B.

Cell lengths 4.220, 4.220, 5.456 Å; angles 90.00, 90.00, 90.00 degrees
Space group P4/mmm (No. 123)
Symmetry-distinct sites (fractional):
Rb  0.000  0.000  0.000 (multiplicity 1)
Mg  0.500  0.500  0.000 (multiplicity 1)
Tc  0.000  0.500  0.500 (multiplicity 2)
B  0.000  0.000  0.500 (multiplicity 1)

Summary:
Raw total energy = -4.9001 eV/atom
N(E_F) = 0.941 states/eV per atom
V = 19.43 A^3/atom
Total moment = 0.00 μB/cell

[4]
Density functional theory data (PBE) for a relaxed structure of SrTa2AgAs.

Cell lengths 4.828, 4.828, 5.685 Å; angles 90.00, 90.00, 90.00 degrees
Space group P4/mmm (No. 123)
Symmetry-distinct sites (fractional):
Sr  0.000  0.000  0.000 (multiplicity 1)
Ta  0.000  0.500  0.500 (multiplicity 2)
Ag  0.500  0.500  0.000 (multiplicity 1)
As  0.000  0.000  0.500 (multiplicity 1)

Summary:
Raw total energy = -5.8065 eV/atom
N(E_F) = 0.858 states/eV per atom
V = 26.50 A^3/atom
Total moment = 1.34 μB/cell